Record 1
Entry from the Alexandria database: BeTc2Ru after structural relaxation (GGA-PBE).

abc: 2.7498 2.7498 6.7466
angles: 90.00 90.00 90.00
Fractional coordinates of all 4 atoms:
1 Be 0.0000 0.0000 0.0000
2 Tc 0.5000 0.5000 0.2207
3 Tc 0.5000 0.5000 0.7793
4 Ru 0.0000 0.0000 0.5000

Output
- ρ (g/cm³) = 9.963
- calculated formation energy (eV/atom) = -0.0345
- spin magnetization (μB/cell) = 0.0

Record 2
Entry from the Alexandria database: Y2AlS5 after structural relaxation (GGA-PBE).

abc: 7.1054 7.1054 11.6574
angles: 90.00 90.00 136.26
Fractional coordinates of all 16 atoms:
1 Y 0.1541 0.8459 0.5679
2 Y 0.1541 0.8459 0.9321
3 Y 0.8459 0.1541 0.0679
4 Y 0.8459 0.1541 0.4321
5 Al 0.1921 0.8079 0.2500
6 Al 0.8079 0.1921 0.7500
7 S 0.0408 0.9592 0.1318
8 S 0.0408 0.9592 0.3682
9 S 0.2826 0.7174 0.7500
10 S 0.3055 0.6945 0.0946
11 S 0.3055 0.6945 0.4054
12 S 0.6945 0.3055 0.5946
13 S 0.6945 0.3055 0.9054
14 S 0.7174 0.2826 0.2500
15 S 0.9592 0.0408 0.6318
16 S 0.9592 0.0408 0.8682

Output
- ρ (g/cm³) = 2.980
- ΔE_f (raw) (eV/atom) = -1.42
- spin magnetization (μB/cell) = 0.9

Number 1: D(E_F) 0.782 states/eV per atom. Number 2: D(E_F) 0.244 states/eV per atom.